# CeEr2Mg | the Alexandria database | PBE | optimized geometry
# - symmetry = P4/mmm (123)
# - crystal system = tetragonal
# - ΔH_f (0 K) (eV per atom) = 0.080
# - final energy (Ha/atom) = -0.150
data_CeEr2Mg
_cell_length_a 4.886
_cell_length_b 4.886
_cell_length_c 4.841
_cell_angle_alpha 90.00
_cell_angle_beta 90.00
_cell_angle_gamma 90.00
_symmetry_space_group_name_H-M 'P 1'
_symmetry_Int_Tables_number 1
_symmetry_space_group_name_Hall 'P 1'
loop_
_atom_site_label
_atom_site_type_symbol
_atom_site_fract_x
_atom_site_fract_y
_atom_site_fract_z
_atom_site_occupancy
Ce1 Ce 0.000 0.000 0.000 1
Er1 Er 0.000 0.500 0.500 1
Er2 Er 0.500 0.000 0.500 1
Mg1 Mg 0.500 0.500 0.000 1



# CoAg2Mo | the Alexandria database | PBE | optimized geometry
# - symmetry = Fm-3m (225)
# - crystal system = cubic
# - ΔH_f (0 K) (eV per atom) = 0.823
# - final energy (Ha/atom) = -0.187
data_CoAg2Mo
_cell_length_a 4.459
_cell_length_b 4.459
_cell_length_c 4.459
_cell_angle_alpha 60.00
_cell_angle_beta 60.00
_cell_angle_gamma 60.00
_symmetry_space_group_name_H-M 'P 1'
_symmetry_Int_Tables_number 1
_symmetry_space_group_name_Hall 'P 1'
loop_
_atom_site_label
_atom_site_type_symbol
_atom_site_fract_x
_atom_site_fract_y
_atom_site_fract_z
_atom_site_occupancy
Co1 Co 0.000 0.000 0.000 1
Ag1 Ag 0.250 0.250 0.250 1
Ag2 Ag 0.750 0.750 0.750 1
Mo1 Mo 0.500 0.500 0.500 1



# TaTlP2 | the Alexandria database | PBE | optimized geometry
# - symmetry = Cmmm (65)
# - crystal system = orthorhombic
# - ΔH_f (0 K) (eV per atom) = 0.487
# - final energy (Ha/atom) = -0.212
data_TaTlP2
_cell_length_a 4.647
_cell_length_b 4.647
_cell_length_c 3.364
_cell_angle_alpha 90.00
_cell_angle_beta 90.00
_cell_angle_gamma 100.96
_symmetry_space_group_name_H-M 'P 1'
_symmetry_Int_Tables_number 1
_symmetry_space_group_name_Hall 'P 1'
loop_
_atom_site_label
_atom_site_type_symbol
_atom_site_fract_x
_atom_site_fract_y
_atom_site_fract_z
_atom_site_occupancy
Ta1 Ta 0.000 0.000 0.000 1
Tl1 Tl 0.500 0.500 0.000 1
P1 P 0.000 0.500 0.500 1
P2 P 0.500 0.000 0.500 1



Please write out number 3 again, unchanged.
# TaTlP2 | the Alexandria database | PBE | optimized geometry
# - symmetry = Cmmm (65)
# - crystal system = orthorhombic
# - ΔH_f (0 K) (eV per atom) = 0.487
# - final energy (Ha/atom) = -0.212
data_TaTlP2
_cell_length_a 4.647
_cell_length_b 4.647
_cell_length_c 3.364
_cell_angle_alpha 90.00
_cell_angle_beta 90.00
_cell_angle_gamma 100.96
_symmetry_space_group_name_H-M 'P 1'
_symmetry_Int_Tables_number 1
_symmetry_space_group_name_Hall 'P 1'
loop_
_atom_site_label
_atom_site_type_symbol
_atom_site_fract_x
_atom_site_fract_y
_atom_site_fract_z
_atom_site_occupancy
Ta1 Ta 0.000 0.000 0.000 1
Tl1 Tl 0.500 0.500 0.000 1
P1 P 0.000 0.500 0.500 1
P2 P 0.500 0.000 0.500 1



Q: Which of these has the lowest final energy?
A: TaTlP2